The following is a GGA-PBE calculation of a relaxed YHoEr2 crystal, from Alexandria via LeMat-Bulk.

Computed properties:
Energy relative to the elements   0.004 eV/atom
Raw total energy   -0.370 Ry/atom

Structure (CIF):
```
data_YHoEr2
_space_group_name_H-M_alt 'P m m 2'
_space_group_IT_number 25
_cell_length_a 3.6018
_cell_length_b 5.6044
_cell_length_c 6.2376
_cell_angle_alpha 90.00
_cell_angle_beta 90.00
_cell_angle_gamma 90.00
loop_
_space_group_symop_operation_xyz
'x,y,z'
'-x,-y,z'
'-x,y,z'
'x,-y,z'
loop_
_atom_site_label
_atom_site_type_symbol
_atom_site_fract_x
_atom_site_fract_y
_atom_site_fract_z
Y1 Y 0.0000 0.0000 0.0000
Ho1 Ho 0.0000 0.5000 0.6649
Er1 Er 0.5000 0.0000 0.4991
Er2 Er 0.5000 0.5000 0.1674
```